Record 1
The following is a DFT calculation (PBE) of an optimized crystal structure of K15Rb4Tl.

abc: 6.7043 6.7043 31.4735
angles: 90.00 90.00 90.00
Last column: nearest neighbours and their distance in Å.
Space group P4/mmm (No. 123)
Symmetry-distinct sites (fractional):
K 0.0000 0.0000 0.0000 x1  8 K 4.10
K 0.0000 0.0000 0.1817 x2  8 K 4.71-4.75, 4 Rb 4.74
K 0.0000 0.0000 0.3933 x2  4 Rb 4.74, 8 K 4.74-4.75
K 0.0000 0.5000 0.0747 x4  2 Tl 4.10, 2 K 4.10
K 0.0000 0.5000 0.2866 x4  8 K 4.71-4.74, 4 Rb 4.74-4.77
K 0.0000 0.5000 0.5000 x2  8 K 4.74-4.75, 4 Rb 4.75
Rb 0.5000 0.5000 0.1788 x2  12 K 4.69-4.77
Rb 0.5000 0.5000 0.3932 x2  12 K 4.74-4.75
Tl 0.5000 0.5000 0.0000 x1  8 K 4.10

Output
DFT total energy = -22.5 eV for the cell shown
Formation enthalpy at 0 K = 0.0076 eV/atom
Volume = 1414.7 Å³/cell

Record 2
The following is a DFT calculation (PBE) of an optimized crystal structure of Ga4CuNi15.

abc: 3.5756 3.5756 17.8639
angles: 90.00 90.00 90.00
Last column: nearest neighbours and their distance in Å.
Space group P4/mmm (No. 123)
Symmetry-distinct sites (fractional):
Ga 0.0000 0.0000 0.1004 x2  12 Ni 2.53-2.54
Ga 0.0000 0.0000 0.3016 x2  12 Ni 2.53
Cu 0.0000 0.0000 0.5000 x1  12 Ni 2.50-2.53
Ni 0.0000 0.5000 0.0000 x2  8 Ni 2.53-2.54, 4 Ga 2.53
Ni 0.0000 0.5000 0.2014 x4  8 Ni 2.53, 4 Ga 2.53-2.54
Ni 0.0000 0.5000 0.4019 x4  8 Ni 2.50-2.53, 2 Cu 2.50, 2 Ga 2.53
Ni 0.5000 0.5000 0.1009 x2  4 Ga 2.53, 8 Ni 2.53-2.54
Ni 0.5000 0.5000 0.3016 x2  4 Ga 2.53, 8 Ni 2.53
Ni 0.5000 0.5000 0.5000 x1  8 Ni 2.50, 4 Cu 2.53

Output
DFT total energy = -107.3 eV for the cell shown
Formation enthalpy at 0 K = -0.2177 eV/atom
Volume = 228.4 Å³/cell

Record 3
The following is a DFT calculation (PBE) of an optimized crystal structure of Ac2ErGe3Rh4.

abc: 4.2919 4.2919 11.2748
angles: 90.00 90.00 90.00
Last column: nearest neighbours and their distance in Å.
Space group P-4m2 (No. 115)
Symmetry-distinct sites (fractional):
Ac 0.0000 0.5000 0.2359 x2  8 Rh 3.28-3.42, 4 Ge 3.31
Er 0.0000 0.0000 0.5000 x1  4 Rh 2.76, 4 Ge 3.03
Ge 0.0000 0.5000 0.8819 x2  5 Rh 2.53-2.56
Ge 0.5000 0.5000 0.5000 x1  4 Rh 2.76, 4 Er 3.03
Rh 0.0000 0.0000 0.0000 x1  4 Ge 2.53
Rh 0.0000 0.5000 0.6546 x2  3 Ge 2.56-2.76, 2 Er 2.76
Rh 0.5000 0.5000 0.0000 x1  4 Ge 2.53

Output
DFT total energy = -64.8 eV for the cell shown
Formation enthalpy at 0 K = -0.8749 eV/atom
Volume = 207.7 Å³/cell

Repeat the first record exactly.
The following is a DFT calculation (PBE) of an optimized crystal structure of K15Rb4Tl.

abc: 6.7043 6.7043 31.4735
angles: 90.00 90.00 90.00
Last column: nearest neighbours and their distance in Å.
Space group P4/mmm (No. 123)
Symmetry-distinct sites (fractional):
K 0.0000 0.0000 0.0000 x1  8 K 4.10
K 0.0000 0.0000 0.1817 x2  8 K 4.71-4.75, 4 Rb 4.74
K 0.0000 0.0000 0.3933 x2  4 Rb 4.74, 8 K 4.74-4.75
K 0.0000 0.5000 0.0747 x4  2 Tl 4.10, 2 K 4.10
K 0.0000 0.5000 0.2866 x4  8 K 4.71-4.74, 4 Rb 4.74-4.77
K 0.0000 0.5000 0.5000 x2  8 K 4.74-4.75, 4 Rb 4.75
Rb 0.5000 0.5000 0.1788 x2  12 K 4.69-4.77
Rb 0.5000 0.5000 0.3932 x2  12 K 4.74-4.75
Tl 0.5000 0.5000 0.0000 x1  8 K 4.10

Output
DFT total energy = -22.5 eV for the cell shown
Formation enthalpy at 0 K = 0.0076 eV/atom
Volume = 1414.7 Å³/cell